(1)
A plane-wave DFT calculation with GGA-PBE was carried out for a geometry-optimized SrIr2W structure.

Computed properties:
For the total energy, the calculation gives -7.66 eV per atom. For the spin magnetization, the calculation gives 0.00 Bohr magnetons per cell. The volume comes out at 17.9 Å³ per atom. For the density, the calculation gives 15.21 g cm⁻³. The calculated formation energy comes out at 1.7 eV per formula unit. The relative energy among the computed polymorphs comes out at 402 meV/atom.

The structure in CIF format:
```
data_SrIr2W
_chemical_formula_sum 'Sr3 Ir6 W3'
_symmetry_space_group_name_H-M 'R -3 m'
_symmetry_Int_Tables_number 166
_symmetry_space_group_name_Hall '-R 3 2"'
_cell_length_a 2.9431
_cell_length_b 2.9431
_cell_length_c 28.6312
_cell_angle_alpha 90.00
_cell_angle_beta 90.00
_cell_angle_gamma 120.00
loop_
_atom_site_label
_atom_site_type_symbol
_atom_site_fract_x
_atom_site_fract_y
_atom_site_fract_z
_atom_site_occupancy
Sr1 Sr 0.0000 0.0000 0.0000 1
Ir1 Ir 0.0000 0.0000 0.2399 1
W1 W 0.0000 0.0000 0.5000 1
```


(2)
A plane-wave DFT calculation with GGA-PBE was carried out for a geometry-optimized MnFe3Ni structure.

Computed properties:
For the total energy, the calculation gives -6.84 eV per atom. For the spin magnetization, the calculation gives 5.74 Bohr magnetons per cell. The volume comes out at 14.2 Å³ per atom. For the density, the calculation gives 6.56 g cm⁻³. The calculated formation energy comes out at 6.2 eV per formula unit. The relative energy among the computed polymorphs comes out at 1121 meV/atom.

The structure in CIF format:
```
data_MnFe3Ni
_chemical_formula_sum 'Mn1 Fe3 Ni1'
_symmetry_space_group_name_H-M 'P m -3 m'
_symmetry_Int_Tables_number 221
_symmetry_space_group_name_Hall '-P 4 2 3'
_cell_length_a 4.1439
_cell_length_b 4.1439
_cell_length_c 4.1439
_cell_angle_alpha 90.00
_cell_angle_beta 90.00
_cell_angle_gamma 90.00
loop_
_atom_site_label
_atom_site_type_symbol
_atom_site_fract_x
_atom_site_fract_y
_atom_site_fract_z
_atom_site_occupancy
Mn1 Mn 0.0000 0.0000 0.0000 1
Fe1 Fe 0.0000 0.0000 0.5000 1
Ni1 Ni 0.5000 0.5000 0.5000 1
```


(3)
A plane-wave DFT calculation with GGA-PBE was carried out for a geometry-optimized Ta4ZnSb structure.

Computed properties:
For the total energy, the calculation gives -8.31 eV per atom. For the spin magnetization, the calculation gives 0.00 Bohr magnetons per cell. The volume comes out at 19.9 Å³ per atom. For the density, the calculation gives 12.66 g cm⁻³. The energy relative to the elements, uncorrected comes out at 47.34 kJ per mole of atoms.

The structure in CIF format:
```
data_Ta4ZnSb
_chemical_formula_sum 'Ta16 Zn4 Sb4'
_symmetry_space_group_name_H-M 'F -4 3 m'
_symmetry_Int_Tables_number 216
_symmetry_space_group_name_Hall 'F -4 2 3'
_cell_length_a 7.8187
_cell_length_b 7.8187
_cell_length_c 7.8187
_cell_angle_alpha 90.00
_cell_angle_beta 90.00
_cell_angle_gamma 90.00
loop_
_atom_site_label
_atom_site_type_symbol
_atom_site_fract_x
_atom_site_fract_y
_atom_site_fract_z
_atom_site_occupancy
Ta1 Ta 0.1239 0.1239 0.1239 1
Zn1 Zn 0.2500 0.2500 0.7500 1
Sb1 Sb 0.0000 0.0000 0.5000 1
```


(4)
A plane-wave DFT calculation with GGA-PBE was carried out for a geometry-optimized LaPmSi2 structure.

Computed properties:
For the total energy, the calculation gives -5.65 eV per atom. For the spin magnetization, the calculation gives 0.00 Bohr magnetons per cell. The volume comes out at 24.4 Å³ per atom. For the density, the calculation gives 5.79 g cm⁻³. The energy relative to the elements, uncorrected comes out at -49.86 kJ per mole of atoms.

The structure in CIF format:
```
data_LaPmSi2
_chemical_formula_sum 'La1 Pm1 Si2'
_symmetry_space_group_name_H-M 'P 4/m m m'
_symmetry_Int_Tables_number 123
_symmetry_space_group_name_Hall '-P 4 2'
_cell_length_a 3.9059
_cell_length_b 3.9059
_cell_length_c 6.3977
_cell_angle_alpha 90.00
_cell_angle_beta 90.00
_cell_angle_gamma 90.00
loop_
_atom_site_label
_atom_site_type_symbol
_atom_site_fract_x
_atom_site_fract_y
_atom_site_fract_z
_atom_site_occupancy
La1 La 0.0000 0.0000 0.0000 1
Pm1 Pm 0.0000 0.0000 0.5000 1
Si1 Si 0.5000 0.5000 0.3033 1
```


(5)
A plane-wave DFT calculation with GGA-PBE was carried out for a geometry-optimized Nd6Pd5Pt structure.

Computed properties:
For the total energy, the calculation gives -5.79 eV per atom. For the spin magnetization, the calculation gives 0.00 Bohr magnetons per cell. The volume comes out at 26.4 Å³ per atom. For the density, the calculation gives 8.36 g cm⁻³. The calculated formation energy comes out at -8.9 eV per formula unit.

The structure in CIF format:
```
data_Nd6Pd5Pt
_chemical_formula_sum 'Nd12 Pd10 Pt2'
_symmetry_space_group_name_H-M 'C 1 2/m 1'
_symmetry_Int_Tables_number 12
_cell_length_a 7.3001
_cell_length_b 12.6506
_cell_length_c 7.2749
_cell_angle_alpha 90.00
_cell_angle_beta 109.61
_cell_angle_gamma 90.00
loop_
_symmetry_equiv_pos_as_xyz
'x,y,z'
'-x,-y,-z'
'-x,y,-z'
'x,-y,z'
'x+1/2,y+1/2,z'
'-x+1/2,-y+1/2,-z'
'-x+1/2,y+1/2,-z'
'x+1/2,-y+1/2,z'
loop_
_atom_site_label
_atom_site_type_symbol
_atom_site_fract_x
_atom_site_fract_y
_atom_site_fract_z
_atom_site_occupancy
Nd1 Nd 0.2472 0.0000 0.2512 1
Nd2 Nd 0.2476 0.1651 0.7477 1
Pd1 Pd 0.0000 0.1679 0.0000 1
Pd2 Pd 0.0000 0.3337 0.5000 1
Pd3 Pd 0.0000 0.5000 0.0000 1
Pt1 Pt 0.0000 0.0000 0.5000 1
```


(6)
A plane-wave DFT calculation with GGA-PBE was carried out for a geometry-optimized TlTc2BO8 structure.

Computed properties:
For the total energy, the calculation gives -7.04 eV per atom. For the spin magnetization, the calculation gives 3.94 Bohr magnetons per cell. The volume comes out at 18.2 Å³ per atom. For the density, the calculation gives 4.10 g cm⁻³. The energy relative to the elements, uncorrected comes out at -120.48 kJ per mole of atoms.

The structure in CIF format:
```
data_TlTc2BO8
_chemical_formula_sum 'Tl2 Tc4 B2 O16'
_symmetry_space_group_name_H-M 'C 1 2/m 1'
_symmetry_Int_Tables_number 12
_cell_length_a 8.0505
_cell_length_b 6.3263
_cell_length_c 8.8414
_cell_angle_alpha 90.00
_cell_angle_beta 103.87
_cell_angle_gamma 90.00
loop_
_symmetry_equiv_pos_as_xyz
'x,y,z'
'-x,-y,-z'
'-x,y,-z'
'x,-y,z'
'x+1/2,y+1/2,z'
'-x+1/2,-y+1/2,-z'
'-x+1/2,y+1/2,-z'
'x+1/2,-y+1/2,z'
loop_
_atom_site_label
_atom_site_type_symbol
_atom_site_fract_x
_atom_site_fract_y
_atom_site_fract_z
_atom_site_occupancy
Tl1 Tl 0.0000 0.0000 0.0000 1
Tc1 Tc 0.1414 0.5000 0.2657 1
B1 B 0.0000 0.0000 0.5000 1
O1 O 0.0267 0.2695 0.2826 1
O2 O 0.1618 0.0000 0.5535 1
O3 O 0.1919 0.5000 0.0840 1
```


(7)
A plane-wave DFT calculation with GGA-PBE was carried out for a geometry-optimized SnGeIO2 structure.

Computed properties:
For the total energy, the calculation gives -4.18 eV per atom. For the spin magnetization, the calculation gives 0.00 Bohr magnetons per cell. The volume comes out at 19.5 Å³ per atom. For the density, the calculation gives 5.97 g cm⁻³. The energy relative to the elements, uncorrected comes out at -15.24 kJ per mole of atoms. The relative energy among the computed polymorphs comes out at 76 meV/atom.

The structure in CIF format:
```
data_SnGeIO2
_chemical_formula_sum 'Sn1 Ge1 I1 O2'
_symmetry_space_group_name_H-M 'P 4/m m m'
_symmetry_Int_Tables_number 123
_symmetry_space_group_name_Hall '-P 4 2'
_cell_length_a 4.1954
_cell_length_b 4.1954
_cell_length_c 5.5322
_cell_angle_alpha 90.00
_cell_angle_beta 90.00
_cell_angle_gamma 90.00
loop_
_atom_site_label
_atom_site_type_symbol
_atom_site_fract_x
_atom_site_fract_y
_atom_site_fract_z
_atom_site_occupancy
Sn1 Sn 0.0000 0.0000 0.0000 1
Ge1 Ge 0.5000 0.5000 0.5000 1
I1 I 0.5000 0.5000 0.0000 1
O1 O 0.0000 0.5000 0.5000 1
```


(8)
A plane-wave DFT calculation with GGA-PBE was carried out for a geometry-optimized Nb2Ni3Ge structure.

Computed properties:
For the total energy, the calculation gives -7.36 eV per atom. For the spin magnetization, the calculation gives 3.11 Bohr magnetons per cell. The volume comes out at 13.6 Å³ per atom. For the density, the calculation gives 8.84 g cm⁻³. The calculated formation energy comes out at -2.1 eV per formula unit.

The structure in CIF format:
```
data_Nb2Ni3Ge
_chemical_formula_sum 'Nb4 Ni6 Ge2'
_symmetry_space_group_name_H-M 'P 63/m m c'
_symmetry_Int_Tables_number 194
_symmetry_space_group_name_Hall '-P 6c 2c'
_cell_length_a 4.9133
_cell_length_b 4.9133
_cell_length_c 7.8086
_cell_angle_alpha 90.00
_cell_angle_beta 90.00
_cell_angle_gamma 120.00
loop_
_atom_site_label
_atom_site_type_symbol
_atom_site_fract_x
_atom_site_fract_y
_atom_site_fract_z
_atom_site_occupancy
Nb1 Nb 0.3333 0.6667 0.0605 1
Ni1 Ni 0.1710 0.3419 0.7500 1
Ge1 Ge 0.0000 0.0000 0.0000 1
```


(9)
A plane-wave DFT calculation with GGA-PBE was carried out for a geometry-optimized B3RuSe structure.

Computed properties:
For the total energy, the calculation gives -4.31 eV per atom. For the spin magnetization, the calculation gives 1.24 Bohr magnetons per cell. The volume comes out at 13.0 Å³ per atom. For the density, the calculation gives 5.43 g cm⁻³. The energy relative to the elements, uncorrected comes out at 216.47 kJ per mole of atoms. The relative energy among the computed polymorphs comes out at 908 meV/atom.

The structure in CIF format:
```
data_B3RuSe
_chemical_formula_sum 'B3 Ru1 Se1'
_symmetry_space_group_name_H-M 'P m -3 m'
_symmetry_Int_Tables_number 221
_symmetry_space_group_name_Hall '-P 4 2 3'
_cell_length_a 4.0197
_cell_length_b 4.0197
_cell_length_c 4.0197
_cell_angle_alpha 90.00
_cell_angle_beta 90.00
_cell_angle_gamma 90.00
loop_
_atom_site_label
_atom_site_type_symbol
_atom_site_fract_x
_atom_site_fract_y
_atom_site_fract_z
_atom_site_occupancy
B1 B 0.0000 0.0000 0.5000 1
Ru1 Ru 0.5000 0.5000 0.5000 1
Se1 Se 0.0000 0.0000 0.0000 1
```


(10)
A plane-wave DFT calculation with GGA-PBE was carried out for a geometry-optimized LaZr2Tl structure.

Computed properties:
For the total energy, the calculation gives -6.09 eV per atom. For the spin magnetization, the calculation gives 0.00 Bohr magnetons per cell. The volume comes out at 25.5 Å³ per atom. For the density, the calculation gives 8.55 g cm⁻³. The calculated formation energy comes out at 0.0 eV per formula unit. The relative energy among the computed polymorphs comes out at 37 meV/atom.

The structure in CIF format:
```
data_LaZr2Tl
_chemical_formula_sum 'La2 Zr4 Tl2'
_symmetry_space_group_name_H-M 'I -4 m 2'
_symmetry_Int_Tables_number 119
_symmetry_space_group_name_Hall 'I -4 -2'
_cell_length_a 4.6221
_cell_length_b 4.6221
_cell_length_c 9.5585
_cell_angle_alpha 90.00
_cell_angle_beta 90.00
_cell_angle_gamma 90.00
loop_
_atom_site_label
_atom_site_type_symbol
_atom_site_fract_x
_atom_site_fract_y
_atom_site_fract_z
_atom_site_occupancy
La1 La 0.0000 0.0000 0.0000 1
Zr1 Zr 0.0000 0.0000 0.5000 1
Zr2 Zr 0.0000 0.5000 0.7500 1
Tl1 Tl 0.0000 0.5000 0.2500 1
```


(11)
A plane-wave DFT calculation with GGA-PBE was carried out for a geometry-optimized HoCdInGa structure.

Computed properties:
For the total energy, the calculation gives -3.20 eV per atom. For the spin magnetization, the calculation gives 0.00 Bohr magnetons per cell. The volume comes out at 22.4 Å³ per atom. For the density, the calculation gives 8.55 g cm⁻³. The calculated formation energy comes out at -1.5 eV per formula unit. The relative energy among the computed polymorphs comes out at 0 meV/atom.

The structure in CIF format:
```
data_HoCdInGa
_chemical_formula_sum 'Ho1 Cd1 In1 Ga1'
_symmetry_space_group_name_H-M 'P m m m'
_symmetry_Int_Tables_number 47
_cell_length_a 4.4092
_cell_length_b 4.4113
_cell_length_c 4.6096
_cell_angle_alpha 90.00
_cell_angle_beta 90.00
_cell_angle_gamma 90.00
loop_
_symmetry_equiv_pos_as_xyz
'x,y,z'
'-x,-y,-z'
'-x,-y,z'
'x,y,-z'
'x,-y,-z'
'-x,y,z'
'-x,y,-z'
'x,-y,z'
loop_
_atom_site_label
_atom_site_type_symbol
_atom_site_fract_x
_atom_site_fract_y
_atom_site_fract_z
_atom_site_occupancy
Ho1 Ho 0.0000 0.0000 0.0000 1
Cd1 Cd 0.5000 0.0000 0.5000 1
In1 In 0.0000 0.5000 0.5000 1
Ga1 Ga 0.5000 0.5000 0.0000 1
```


(12)
A plane-wave DFT calculation with GGA-PBE was carried out for a geometry-optimized Pm6PrDy2Ho structure.

Computed properties:
For the total energy, the calculation gives -4.59 eV per atom. For the spin magnetization, the calculation gives 0.00 Bohr magnetons per cell. The volume comes out at 34.0 Å³ per atom. For the density, the calculation gives 7.33 g cm⁻³. The calculated formation energy comes out at 1.1 eV per formula unit.

The structure in CIF format:
```
data_Pm6PrDy2Ho
_chemical_formula_sum 'Pm24 Pr4 Dy8 Ho4'
_symmetry_space_group_name_H-M 'C 1 2/c 1'
_symmetry_Int_Tables_number 15
_cell_length_a 9.2755
_cell_length_b 15.2612
_cell_length_c 9.6773
_cell_angle_alpha 90.00
_cell_angle_beta 97.06
_cell_angle_gamma 90.00
loop_
_symmetry_equiv_pos_as_xyz
'x,y,z'
'-x,-y,-z'
'-x,y,-z+1/2'
'x,-y,z+1/2'
'x+1/2,y+1/2,z'
'-x+1/2,-y+1/2,-z'
'-x+1/2,y+1/2,-z+1/2'
'x+1/2,-y+1/2,z+1/2'
loop_
_atom_site_label
_atom_site_type_symbol
_atom_site_fract_x
_atom_site_fract_y
_atom_site_fract_z
_atom_site_occupancy
Pm1 Pm 0.0631 0.1809 0.4446 1
Pm2 Pm 0.0975 0.3908 0.6183 1
Pm3 Pm 0.2129 0.2240 0.8149 1
Pr1 Pr 0.0000 0.0272 0.7500 1
Dy1 Dy 0.2483 0.4502 0.9528 1
Ho1 Ho 0.0000 0.4102 0.2500 1
```


(13)
A plane-wave DFT calculation with GGA-PBE was carried out for a geometry-optimized Cs3ScI6 structure.

Computed properties:
For the total energy, the calculation gives -3.22 eV per atom. For the spin magnetization, the calculation gives 0.00 Bohr magnetons per cell. The volume comes out at 55.3 Å³ per atom. For the density, the calculation gives 3.62 g cm⁻³. The energy relative to the elements, uncorrected comes out at -134.79 kJ per mole of atoms. The relative energy among the computed polymorphs comes out at 38 meV/atom.

The structure in CIF format:
```
data_Cs3ScI6
_chemical_formula_sum 'Cs12 Sc4 I24'
_symmetry_space_group_name_H-M 'F m -3 m'
_symmetry_Int_Tables_number 225
_symmetry_space_group_name_Hall '-F 4 2 3'
_cell_length_a 13.0294
_cell_length_b 13.0294
_cell_length_c 13.0294
_cell_angle_alpha 90.00
_cell_angle_beta 90.00
_cell_angle_gamma 90.00
loop_
_atom_site_label
_atom_site_type_symbol
_atom_site_fract_x
_atom_site_fract_y
_atom_site_fract_z
_atom_site_occupancy
Cs1 Cs 0.0000 0.0000 0.0000 1
Cs2 Cs 0.2500 0.2500 0.2500 1
Sc1 Sc 0.0000 0.0000 0.5000 1
I1 I 0.0000 0.0000 0.2779 1
```


(14)
A plane-wave DFT calculation with GGA-PBE was carried out for a geometry-optimized Y4ErRu5 structure.

Computed properties:
For the total energy, the calculation gives -7.97 eV per atom. For the spin magnetization, the calculation gives 0.00 Bohr magnetons per cell. The volume comes out at 19.7 Å³ per atom. For the density, the calculation gives 8.66 g cm⁻³. The calculated formation energy comes out at -2.9 eV per formula unit.

The structure in CIF format:
```
data_Y4ErRu5
_chemical_formula_sum 'Y4 Er1 Ru5'
_symmetry_space_group_name_H-M 'P 4/m m m'
_symmetry_Int_Tables_number 123
_symmetry_space_group_name_Hall '-P 4 2'
_cell_length_a 3.4063
_cell_length_b 3.4063
_cell_length_c 16.9919
_cell_angle_alpha 90.00
_cell_angle_beta 90.00
_cell_angle_gamma 90.00
loop_
_atom_site_label
_atom_site_type_symbol
_atom_site_fract_x
_atom_site_fract_y
_atom_site_fract_z
_atom_site_occupancy
Y1 Y 0.0000 0.0000 0.1004 1
Y2 Y 0.0000 0.0000 0.3012 1
Er1 Er 0.0000 0.0000 0.5000 1
Ru1 Ru 0.5000 0.5000 0.0000 1
Ru2 Ru 0.5000 0.5000 0.2009 1
Ru3 Ru 0.5000 0.5000 0.4028 1
```